First-principles (SCAN) data for a crystal of NaAlCr2Re relaxed with PBEsol, as listed in the Alexandria database.

Values from the calculation:
SG: P4/mmm (123)
ΔE_f (eV per formula unit): 3.4

```
5
Lattice="4.670 0.000 0.000 0.000 4.670 0.000 0.000 0.000 4.890" Properties=species:S:1:pos:R:3 pbc="T T T"
Na 0.000 0.000 0.000
Al 2.335 2.335 0.000
Cr 0.000 2.335 2.445
Cr 2.335 0.000 2.445
Re 2.335 2.335 2.445
```

First-principles (SCAN) data for a crystal of Na2SnH2 relaxed with PBEsol, as listed in the Alexandria database.

Values from the calculation:
Relative energy among the computed polymorphs (eV per formula unit): 0.486
SG: I4/mmm (139)

```
5
Lattice="-2.008 2.008 5.170 2.008 -2.008 5.170 2.008 2.008 -5.170" Properties=species:S:1:pos:R:3 pbc="T T T"
Na 0.000 0.000 1.737
Na 0.000 0.000 8.603
Sn 0.000 0.000 5.170
H 2.008 0.000 2.585
H 0.000 2.008 2.585
```

First-principles (SCAN) data for a crystal of Ba2ZnBr relaxed with PBEsol, as listed in the Alexandria database.

Values from the calculation:
Relative energy among the computed polymorphs (eV per formula unit): 0.029
SG: Pmmm (47)
E_form (uncorrected) (eV per atom): -0.95

```
4
Lattice="4.680 0.000 0.000 0.000 4.692 0.000 0.000 0.000 6.738" Properties=species:S:1:pos:R:3 pbc="T T T"
Ba 0.000 0.000 0.000
Ba 2.340 2.346 3.369
Zn 0.000 0.000 3.369
Br 2.340 2.346 0.000
```

| no. | DOS at the Fermi energy (states/eV/atom) |
| --- | --- |
| 1 | 0.462 |
| 2 | 0.287 |
| 3 | 1.255 |